Material: Cs3Dy3AlSe8
Method: DFT, GGA-PBE
State: relaxed

Values from the calculation:
Formation energy without anion corrections   -1.45 eV per atom
Magnetization   0.000 μB/atom

Unit cell a=8.2231 b=8.2231 c=9.8421 alpha=114.75 beta=114.75 gamma=59.96
Fractional coordinates of all 15 atoms:
Cs: 0.0000 0.0000 0.0000
Cs: 0.0000 0.5000 0.0000
Cs: 0.5000 0.0000 0.0000
Dy: 0.0000 0.5000 0.5000
Dy: 0.5000 0.0000 0.5000
Dy: 0.5000 0.5000 0.5000
Al: 0.0000 0.0000 0.5000
Se: 0.2127 0.2127 0.6742
Se: 0.2128 0.7490 0.6743
Se: 0.2510 0.7872 0.3257
Se: 0.2709 0.2709 0.3131
Se: 0.7291 0.7291 0.6869
Se: 0.7490 0.2128 0.6743
Se: 0.7872 0.2510 0.3257
Se: 0.7873 0.7873 0.3258